w.
Li3Pd7Pb2: optimized geometry, PBE.

Structure (extended XYZ):
```
12
Lattice="2.265 -10.894 0.000 2.265 10.894 0.000 0.000 0.000 4.363" Properties=species:S:1:pos:R:3 pbc="T T T"
Li 0.000 0.000 0.000
Li 2.265 7.659 0.000
Li 2.265 -7.659 0.000
Pd 2.265 9.296 2.182
Pd 2.265 6.181 2.182
Pd 2.265 1.559 0.000
Pd 2.265 0.000 2.182
Pd 2.265 -1.559 0.000
Pd 2.265 -6.181 2.182
Pd 2.265 -9.296 2.182
Pb 2.265 3.257 2.182
Pb 2.265 -3.257 2.182
```



x.
Li3Pd7Pb2: optimized geometry, PBE.

Structure (extended XYZ):
```
12
Lattice="4.116 0.000 0.000 0.000 3.554 0.000 -2.006 0.000 15.206" Properties=species:S:1:pos:R:3 pbc="T T T"
Li 0.000 0.000 0.000
Li 0.025 1.777 8.816
Li 2.085 1.777 6.390
Pd 0.001 1.777 1.936
Pd 0.027 0.000 6.724
Pd 0.051 0.000 13.055
Pd 2.058 1.777 0.000
Pd 2.059 0.000 2.151
Pd 2.083 0.000 8.482
Pd 2.109 1.777 13.270
Pb -0.001 0.000 4.061
Pb 2.111 0.000 11.145
```



w (0.046 eV/atom below the next structure)



w.
LiPd6Pb2: optimized geometry, PBE.

Structure (extended XYZ):
```
18
Lattice="8.470 0.000 0.000 0.000 8.470 0.000 0.000 0.000 4.215" Properties=species:S:1:pos:R:3 pbc="T T T"
Li 0.000 0.000 0.000
Li 4.235 4.235 2.108
Pd 0.144 2.815 0.000
Pd 1.196 7.274 2.108
Pd 1.420 4.379 2.108
Pd 2.815 0.144 0.000
Pd 3.039 3.039 0.000
Pd 4.092 7.050 2.108
Pd 4.379 1.420 2.108
Pd 5.432 5.432 0.000
Pd 5.656 8.327 0.000
Pd 7.050 4.092 2.108
Pd 7.274 1.196 2.108
Pd 8.327 5.656 0.000
Pb 1.585 1.585 2.108
Pb 2.650 5.820 0.000
Pb 5.820 2.650 0.000
Pb 6.886 6.886 2.108
```



x.
LiPd6Pb2: optimized geometry, PBE.

Structure (extended XYZ):
```
9
Lattice="4.612 -2.835 0.000 4.612 2.835 0.000 -1.567 0.000 6.192" Properties=species:S:1:pos:R:3 pbc="T T T"
Li 0.000 0.000 0.000
Pd 2.681 1.429 3.944
Pd 0.442 0.000 4.667
Pd 4.976 1.429 2.248
Pd 2.681 -1.429 3.944
Pd 7.216 0.000 1.525
Pd 4.976 -1.429 2.248
Pb 2.768 0.000 1.205
Pb 4.889 0.000 4.987
```



w (0.101 eV/atom below the next structure)



w.
Li3PdPb4: optimized geometry, PBE.

Structure (extended XYZ):
```
8
Lattice="5.986 -1.738 0.000 5.986 1.738 0.000 -2.479 0.000 9.012" Properties=species:S:1:pos:R:3 pbc="T T T"
Li 0.000 0.000 0.000
Li 0.597 0.000 4.889
Li 8.897 0.000 4.123
Pd 4.747 0.000 4.506
Pb 3.321 0.000 1.534
Pb 2.988 0.000 6.640
Pb 6.505 0.000 2.372
Pb 6.172 0.000 7.479
```



x.
Li3PdPb4: optimized geometry, PBE.

Structure (extended XYZ):
```
8
Lattice="3.527 0.000 0.000 0.000 3.527 0.000 0.000 0.000 14.290" Properties=species:S:1:pos:R:3 pbc="T T T"
Li 0.000 0.000 0.000
Li 0.000 0.000 3.573
Li 0.000 0.000 10.718
Pd 0.000 0.000 7.145
Pb 1.763 1.763 1.769
Pb 1.763 1.763 5.491
Pb 1.763 1.763 8.799
Pb 1.763 1.763 12.521
```



x (0.068 eV/atom below the next structure)



w.
Li3Pd4Pb: optimized geometry, PBE.

Structure (extended XYZ):
```
8
Lattice="4.264 0.000 0.000 0.000 4.264 0.000 0.000 0.000 6.653" Properties=species:S:1:pos:R:3 pbc="T T T"
Li 0.000 0.000 0.000
Li 0.000 0.000 3.326
Li 2.132 2.132 0.000
Pd 0.000 2.132 1.507
Pd 0.000 2.132 5.146
Pd 2.132 0.000 1.507
Pd 2.132 0.000 5.146
Pb 2.132 2.132 3.326
```



x.
Li3Pd4Pb: optimized geometry, PBE.

Structure (extended XYZ):
```
8
Lattice="-2.714 4.593 2.537 2.714 -4.593 2.537 2.714 4.593 -2.537" Properties=species:S:1:pos:R:3 pbc="T T T"
Li 0.000 0.000 0.000
Li 2.714 2.419 1.281
Li 0.000 2.174 3.818
Pd 2.714 2.401 -1.269
Pd 0.000 2.192 1.268
Pd 1.369 4.593 -0.029
Pd 1.344 0.000 2.508
Pb 0.000 4.593 2.519
```



w (0.148 eV/atom below the next structure)



w.
Li3Pd2Pb2: optimized geometry, PBE.

Structure (extended XYZ):
```
7
Lattice="4.469 0.000 0.000 0.000 3.175 0.000 -2.236 0.000 9.591" Properties=species:S:1:pos:R:3 pbc="T T T"
Li 0.000 0.000 0.000
Li -0.003 0.000 5.375
Li 2.236 0.000 4.216
Pd 0.005 0.000 2.705
Pd 2.228 0.000 6.886
Pb -0.007 1.587 7.880
Pb 2.240 1.587 1.711
```



x.
Li3Pd2Pb2: optimized geometry, PBE.

Structure (extended XYZ):
```
7
Lattice="4.054 -2.331 0.000 4.054 2.331 0.000 -2.612 0.000 6.807" Properties=species:S:1:pos:R:3 pbc="T T T"
Li 0.000 0.000 0.000
Li 0.041 0.000 2.942
Li 5.455 0.000 3.865
Pd 0.075 0.000 5.707
Pd 5.422 0.000 1.100
Pb 2.724 0.000 1.738
Pb 2.773 0.000 5.069
```



x (0.180 eV/atom below the next structure)



w.
Li3PdPb2: optimized geometry, PBE.

Structure (extended XYZ):
```
12
Lattice="-2.889 6.899 2.940 2.889 -6.899 2.940 2.889 6.899 -2.940" Properties=species:S:1:pos:R:3 pbc="T T T"
Li 4.300 1.892 0.000
Li 0.000 0.000 1.470
Li 1.411 5.007 0.000
Li 1.478 1.892 2.940
Li 0.000 0.000 4.410
Li -1.411 5.007 2.940
Pd 2.889 0.000 1.470
Pd 0.000 6.899 1.470
Pb 1.476 2.115 0.000
Pb 1.476 -2.115 2.940
Pb 1.413 9.014 0.000
Pb 1.413 4.784 2.940
```



x.
Li3PdPb2: optimized geometry, PBE.

Structure (extended XYZ):
```
12
Lattice="7.403 -2.621 0.000 7.403 2.621 0.000 0.000 0.000 6.384" Properties=species:S:1:pos:R:3 pbc="T T T"
Li 2.636 0.095 4.788
Li 7.403 1.637 4.788
Li 2.636 -0.095 1.596
Li 12.170 0.095 4.788
Li 7.403 -1.637 1.596
Li 12.170 -0.095 1.596
Pd 7.403 1.067 1.596
Pd 7.403 -1.067 4.788
Pb 5.298 0.000 0.000
Pb 5.298 0.000 3.192
Pb 9.508 0.000 0.000
Pb 9.508 0.000 3.192
```



x (0.008 eV/atom below the next structure)



w.
Li2Pd3Pb: optimized geometry, PBE.

Structure (extended XYZ):
```
6
Lattice="2.120 -6.033 0.000 2.120 6.033 0.000 0.000 0.000 3.774" Properties=species:S:1:pos:R:3 pbc="T T T"
Li 2.120 3.965 0.000
Li 2.120 -3.965 0.000
Pd 0.000 0.000 1.887
Pd 2.120 2.106 1.887
Pd 2.120 -2.106 1.887
Pb 2.120 0.000 0.000
```



x.
Li2Pd3Pb: optimized geometry, PBE.

Structure (extended XYZ):
```
6
Lattice="4.437 0.000 0.000 -2.218 3.842 0.000 0.000 0.000 5.584" Properties=species:S:1:pos:R:3 pbc="T T T"
Li 0.000 2.561 0.926
Li 2.218 1.281 4.658
Pd 0.000 0.000 0.000
Pd 0.000 2.561 3.910
Pd 2.218 1.281 1.674
Pb 0.000 0.000 2.792
```



x (0.015 eV/atom below the next structure)



w.
SrLi2PdPb: optimized geometry, PBE.

Structure (extended XYZ):
```
5
Lattice="4.971 0.000 0.000 0.000 4.971 0.000 0.000 0.000 5.726" Properties=species:S:1:pos:R:3 pbc="T T T"
Sr 0.000 0.000 0.000
Li 0.000 2.486 2.863
Li 2.486 0.000 2.863
Pd 0.000 0.000 2.863
Pb 2.486 2.486 0.000
```



x.
SrLi2PdPb: optimized geometry, PBE.

Structure (extended XYZ):
```
5
Lattice="4.991 0.000 0.000 0.000 4.991 0.000 0.000 0.000 5.270" Properties=species:S:1:pos:R:3 pbc="T T T"
Sr 0.000 0.000 0.000
Li 0.000 2.496 2.635
Li 2.496 0.000 2.635
Pd 2.496 2.496 2.635
Pb 2.496 2.496 0.000
```



x (0.165 eV/atom below the next structure)



w.
LiTcPd2Pb: optimized geometry, PBE.

Structure (extended XYZ):
```
5
Lattice="5.041 0.000 0.000 0.000 5.041 0.000 0.000 0.000 4.712" Properties=species:S:1:pos:R:3 pbc="T T T"
Li 0.000 0.000 0.000
Tc 2.521 2.521 0.000
Pd 0.000 2.521 2.356
Pd 2.521 0.000 2.356
Pb 0.000 0.000 2.356
```



x.
LiTcPd2Pb: optimized geometry, PBE.

Structure (extended XYZ):
```
5
Lattice="5.125 0.000 0.000 0.000 5.125 0.000 0.000 0.000 5.193" Properties=species:S:1:pos:R:3 pbc="T T T"
Li 0.000 0.000 0.000
Tc 2.562 2.562 0.000
Pd 0.000 2.562 2.597
Pd 2.562 0.000 2.597
Pb 2.562 2.562 2.597
```



x (0.055 eV/atom below the next structure)



w.
LiPm2Pb4: optimized geometry, PBE.

Structure (extended XYZ):
```
28
Lattice="0.000 7.394 7.394 7.394 0.000 7.394 7.394 7.394 0.000" Properties=species:S:1:pos:R:3 pbc="T T T"
Li 0.000 0.000 0.000
Li 3.697 3.697 0.000
Li 3.697 0.000 3.697
Li 0.000 3.697 3.697
Pm 4.127 4.127 4.127
Pm 6.963 6.963 4.127
Pm 6.963 4.127 6.963
Pm 10.660 7.824 7.824
Pm 4.127 6.963 6.963
Pm 7.824 10.660 7.824
Pm 7.824 7.824 10.660
Pm 10.660 10.660 10.660
Pb 7.394 3.697 3.697
Pb 5.545 5.545 1.261
Pb 5.545 1.261 5.545
Pb 9.830 5.545 5.545
Pb 9.242 9.242 4.958
Pb 9.242 4.958 9.242
Pb 13.527 9.242 9.242
Pb 3.697 7.394 3.697
Pb 3.697 3.697 7.394
Pb 7.394 7.394 7.394
Pb 1.261 5.545 5.545
Pb 5.545 9.830 5.545
Pb 5.545 5.545 9.830
Pb 4.958 9.242 9.242
Pb 9.242 13.527 9.242
Pb 9.242 9.242 13.527
```



x.
LiPm2Pb4: optimized geometry, PBE.

Structure (extended XYZ):
```
14
Lattice="6.263 0.000 0.000 0.000 6.530 0.000 -2.793 0.000 9.887" Properties=species:S:1:pos:R:3 pbc="T T T"
Li 1.037 1.632 1.633
Li 2.432 4.897 8.254
Pm 0.170 4.897 4.086
Pm 2.043 4.897 0.005
Pm 1.426 1.632 9.882
Pm 3.300 1.632 5.801
Pb -1.790 1.632 8.810
Pb -0.125 1.632 4.159
Pb 0.427 0.022 7.025
Pb 0.427 3.242 7.025
Pb 3.042 3.287 2.863
Pb 3.042 6.507 2.863
Pb 3.594 4.897 5.728
Pb 5.259 4.897 1.077
```



w (0.016 eV/atom below the next structure)



w.
LiPmPb: optimized geometry, PBE.

Structure (extended XYZ):
```
3
Lattice="0.000 3.595 3.595 3.595 0.000 3.595 3.595 3.595 0.000" Properties=species:S:1:pos:R:3 pbc="T T T"
Li 0.000 0.000 0.000
Pm 3.595 3.595 3.595
Pb 5.392 5.392 5.392
```



x.
LiPmPb: optimized geometry, PBE.

Structure (extended XYZ):
```
6
Lattice="4.602 0.000 0.000 0.000 4.602 0.000 0.000 0.000 7.309" Properties=species:S:1:pos:R:3 pbc="T T T"
Li 1.151 3.452 0.000
Li 3.452 1.151 0.000
Pm 1.151 1.151 2.326
Pm 3.452 3.452 4.983
Pb 1.151 1.151 5.586
Pb 3.452 3.452 1.724
```



x (0.158 eV/atom below the next structure)